Record 1
VASP calculation (GGA-PBEsol) on a relaxed structure of ZrCdPb2.

The value obtained for the formation enthalpy at 0 K is -0.04 eV/atom.

The structure belongs to space group Amm2 (No. 38); the cell edges are 5.068, 3.331 and 11.588 Å and the angles 90.00°, 90.00° and 90.00°. The inequivalent atoms are Zr at (0.000, 0.000, 0.000), Cd at (0.500, 0.000, 0.841), Pb at (0.000, 0.000, 0.267) and Pb at (0.500, 0.000, 0.569).

Record 2
VASP calculation (GGA-PBEsol) on a relaxed structure of RuRh2Au.

As for the energy above the lowest structure with this stoichiometry: 0.00 kcal/mol of atoms. The value obtained for the formation enthalpy at 0 K is 0.07 eV/atom.

The structure belongs to space group P4/mmm (No. 123); the cell edges are 2.712, 2.712 and 7.756 Å and the angles 90.00°, 90.00° and 90.00°. The inequivalent atoms are Ru at (0.000, 0.000, 0.000), Rh at (0.500, 0.500, 0.231) and Au at (0.000, 0.000, 0.500).

Record 3
VASP calculation (GGA-PBEsol) on a relaxed structure of Cr2OsRu.

As for the energy above the lowest structure with this stoichiometry: 0.00 kcal/mol of atoms. The value obtained for the formation enthalpy at 0 K is 0.13 eV/atom.

The structure belongs to space group Cmmm (No. 65); the cell edges are 5.283, 7.239 and 2.634 Å and the angles 90.00°, 90.00° and 90.00°. The inequivalent atoms are Cr at (0.250, 0.250, 0.000), Os at (0.000, 0.000, 0.500) and Ru at (0.000, 0.500, 0.500).

Record 4
VASP calculation (GGA-PBEsol) on a relaxed structure of TbMgCo4.

The value obtained for the formation enthalpy at 0 K is -0.13 eV/atom.

The structure belongs to space group F-43m (No. 216); the cell edges are 6.913, 6.913 and 6.913 Å and the angles 90.00°, 90.00° and 90.00°. The inequivalent atoms are Tb at (0.000, 0.000, 0.000), Mg at (0.250, 0.250, 0.250) and Co at (0.124, 0.124, 0.624).

Record 5
VASP calculation (GGA-PBEsol) on a relaxed structure of AlSbRu2.

The uncorrected formation energy is -38 meV per atom.

The structure belongs to space group P4mm (No. 99); the cell edges are 3.323, 3.323 and 5.676 Å and the angles 90.00°, 90.00° and 90.00°. The inequivalent atoms are Al at (0.000, 0.000, 0.000), Sb at (0.500, 0.500, 0.685), Ru at (0.000, 0.000, 0.485) and Ru at (0.500, 0.500, 0.155).

Record 6
VASP calculation (GGA-PBEsol) on a relaxed structure of La2P2Os.

The value obtained for the formation enthalpy at 0 K is -0.39 eV/atom.

The structure belongs to space group I4/mmm (No. 139); the cell edges are 3.490, 3.490 and 17.223 Å and the angles 90.00°, 90.00° and 90.00°. The inequivalent atoms are La at (0.000, 0.000, 0.103), P at (0.000, 0.500, 0.250) and Os at (0.000, 0.000, 0.500).